1.
This record from Alexandria describes KY2MgIr after structural relaxation. The functional is PBE.

Output
* E_form: -0.8 eV per formula unit
* symmetry: P4/mmm
* electronic total energy: -25.3 eV/cell
* D(E_F): 3.99 states/eV/cell

abc: 5.4392 5.4392 5.3930
angles: 90.00 90.00 90.00
Atoms (fractional coordinates):
Ir 0.0000 0.0000 0.0000
Y 0.5000 0.0000 0.0000
K 0.5000 0.5000 0.5000
Y 0.0000 0.5000 0.0000
Mg 0.0000 0.0000 0.5000

2.
This record from Alexandria describes CuHgCl2 after structural relaxation. The functional is PBE.

Output
* ΔE_f (raw): -0.30 eV per atom
* symmetry: R3m
* offset from the most stable computed form: 67 meV per atom
* electronic total energy: -9.3 eV/cell
* D(E_F): 2.41 states/eV/cell

abc: 8.3579 8.3579 8.3579
angles: 25.83 25.83 25.83
Atoms (fractional coordinates):
Cu 0.5026 0.5026 0.5026
Hg 0.7609 0.7609 0.7609
Cl 0.2115 0.2115 0.2115
Cl 0.0250 0.0250 0.0250

3.
This record from Alexandria describes Sm3Ho6Tm2Pu after structural relaxation. The functional is PBE.

Output
* E_form: 0.5 eV per formula unit
* symmetry: C2/m
* electronic total energy: -64.4 eV/cell
* D(E_F): 23.33 states/eV/cell

abc: 6.1181 6.1181 11.6677
angles: 95.03 95.03 120.00
Atoms (fractional coordinates):
Tm 0.3334 0.6666 0.0000
Ho 0.4114 0.0818 0.2450
Ho 0.9182 0.5886 0.7550
Pu 0.0000 0.0000 0.0000
Sm 0.1672 0.8328 0.5000
Ho 0.2479 0.2479 0.7549
Sm 0.5000 0.5000 0.5000
Ho 0.0818 0.4114 0.2450
Ho 0.7521 0.7521 0.2451
Ho 0.5886 0.9182 0.7550
Sm 0.8328 0.1672 0.5000
Tm 0.6666 0.3334 0.0000

4.
This record from Alexandria describes Ca2Cd2Hg5 after structural relaxation. The functional is PBE.

Output
* E_form: -2.1 eV per formula unit
* symmetry: Ima2
* offset from the most stable computed form: 13 meV per atom
* electronic total energy: -18.9 eV/cell
* D(E_F): 6.79 states/eV/cell

abc: 5.6297 8.3496 11.4638
angles: 111.36 104.21 90.00
Atoms (fractional coordinates):
Cd 0.6255 0.9868 0.5000
Hg 0.1236 0.8202 0.5000
Cd 0.5000 0.3469 0.0000
Hg 0.8764 0.3202 0.5000
Hg 0.1080 0.0375 0.3238
Hg 0.2842 0.2137 0.6762
Ca 0.8034 0.4246 0.7878
Hg 0.7158 0.5375 0.3238
Hg 0.0154 0.1165 0.8635
Hg 0.6519 0.7530 0.1365
Hg 0.9846 0.2530 0.1365
Cd 0.3745 0.4868 0.5000
Cd 0.0000 0.8469 0.0000
Ca 0.4844 0.9246 0.7878
Ca 0.1966 0.6369 0.2122
Hg 0.8920 0.7137 0.6762
Hg 0.3481 0.6165 0.8635
Ca 0.5156 0.1369 0.2122

5.
This record from Alexandria describes HfBe2W2 after structural relaxation. The functional is PBE.

Output
* E_form: 2.1 eV per formula unit
* symmetry: I4/mmm
* offset from the most stable computed form: 525 meV per atom
* electronic total energy: -41.2 eV/cell
* D(E_F): 2.47 states/eV/cell

abc: 4.3030 4.3030 5.0825
angles: 64.96 64.96 90.00
Atoms (fractional coordinates):
Be 0.2500 0.7500 0.5000
W 0.3453 0.3453 0.3093
Be 0.7500 0.2500 0.5000
Hf 0.0000 0.0000 0.0000
W 0.6547 0.6547 0.6907

6.
This record from Alexandria describes CePrLu4 after structural relaxation. The functional is PBE.

Output
* E_form: 1.9 eV per formula unit
* symmetry: F-43m
* electronic total energy: -26.9 eV/cell
* D(E_F): 14.38 states/eV/cell

abc: 6.6058 6.6058 6.6058
angles: 60.00 60.00 60.00
Atoms (fractional coordinates):
Lu 0.6245 0.6245 0.1266
Lu 0.6245 0.1266 0.6245
Lu 0.6245 0.6245 0.6245
Ce 0.2500 0.2500 0.2500
Pr 0.0000 0.0000 0.0000
Lu 0.1266 0.6245 0.6245

7.
This record from Alexandria describes TaZnP4 after structural relaxation. The functional is PBE.

Output
* E_form: 3.3 eV per formula unit
* symmetry: F-43m
* electronic total energy: -31.4 eV/cell
* D(E_F): 3.83 states/eV/cell

abc: 5.0065 5.0065 5.0065
angles: 60.00 60.00 60.00
Atoms (fractional coordinates):
P 0.8696 0.3768 0.3768
Ta 0.7500 0.7500 0.7500
P 0.3768 0.3768 0.8696
Zn 0.0000 0.0000 0.0000
P 0.3768 0.3768 0.3768
P 0.3768 0.8696 0.3768

8.
This record from Alexandria describes Li2Ga5Ag after structural relaxation. The functional is PBE.

Output
* E_form: -1.5 eV per formula unit
* symmetry: Pbam
* offset from the most stable computed form: 0 meV per atom
* electronic total energy: -46.7 eV/cell
* D(E_F): 5.69 states/eV/cell

abc: 3.9380 5.7962 11.6751
angles: 90.00 90.00 90.00
Atoms (fractional coordinates):
Ga 0.5000 0.2539 0.3760
Ga 0.0000 0.0083 0.2518
Ga 0.5000 0.7461 0.6240
Ag 0.0000 0.0000 0.5000
Li 0.5000 0.2521 0.1255
Ag 0.0000 0.5000 0.0000
Ga 0.0000 0.0000 0.0000
Li 0.5000 0.7521 0.3745
Ga 0.0000 0.5000 0.5000
Ga 0.5000 0.7539 0.1240
Ga 0.0000 0.5083 0.2482
Ga 0.5000 0.2461 0.8760
Ga 0.0000 0.4917 0.7518
Ga 0.0000 0.9917 0.7482
Li 0.5000 0.7479 0.8745
Li 0.5000 0.2479 0.6255

9.
This record from Alexandria describes SbP2F after structural relaxation. The functional is PBE.

Output
* ΔE_f (raw): -0.43 eV per atom
* symmetry: I-42d
* offset from the most stable computed form: 0 meV per atom
* electronic total energy: -37.1 eV/cell
* D(E_F): 3.89 states/eV/cell

abc: 8.6764 8.6764 6.5051
angles: 48.17 48.17 90.00
Atoms (fractional coordinates):
F 0.5000 0.5000 0.0000
Sb 0.0000 0.0000 0.0000
F 0.2500 0.7500 0.5000
P 0.6783 0.1250 0.2500
P 0.3750 0.3217 0.7500
Sb 0.7500 0.2500 0.5000
P 0.0717 0.6250 0.2500
P 0.8750 0.9283 0.7500

10.
This record from Alexandria describes LaSI2N after structural relaxation. The functional is PBE.

Output
* ΔE_f (raw): 0.16 eV per atom
* symmetry: P4/mmm
* offset from the most stable computed form: 0 meV per atom
* electronic total energy: -19.7 eV/cell
* D(E_F): 4.72 states/eV/cell

abc: 6.1723 6.1723 3.5629
angles: 90.00 90.00 90.00
Atoms (fractional coordinates):
La 0.5000 0.5000 0.5000
N 0.0000 0.0000 0.5000
I 0.0000 0.5000 0.0000
I 0.5000 0.0000 0.0000
S 0.0000 0.0000 0.0000

11.
This record from Alexandria describes Mg2MnFe after structural relaxation. The functional is PBE.

Output
* E_form: 1.2 eV per formula unit
* symmetry: P4/mmm
* offset from the most stable computed form: 124 meV per atom
* electronic total energy: -19.6 eV/cell
* D(E_F): 3.97 states/eV/cell

abc: 2.8307 2.8307 7.9394
angles: 90.00 90.00 90.00
Atoms (fractional coordinates):
Mg 0.0000 0.0000 0.5088
Fe 0.5000 0.5000 0.7500
Mn 0.5000 0.5000 0.2500
Mg 0.0000 0.0000 0.9912

12.
This record from Alexandria describes DyRh6C after structural relaxation. The functional is PBE.

Output
* E_form: -0.8 eV per formula unit
* symmetry: R-3m
* electronic total energy: -58.7 eV/cell
* D(E_F): 8.44 states/eV/cell

abc: 5.5256 5.5256 5.7720
angles: 61.40 61.40 60.00
Atoms (fractional coordinates):
Dy 0.5000 0.5000 0.5000
Rh 0.4274 0.9049 0.7629
Rh 0.5726 0.0951 0.2371
Rh 0.0951 0.5726 0.2371
Rh 0.0951 0.0951 0.2371
Rh 0.9049 0.9049 0.7629
C 0.0000 0.0000 0.0000
Rh 0.9049 0.4274 0.7629

13.
This record from Alexandria describes K2RbLi after structural relaxation. The functional is PBE.

Output
* E_form: 0.5 eV per formula unit
* symmetry: Fm-3m
* offset from the most stable computed form: 19 meV per atom
* electronic total energy: -4.6 eV/cell
* D(E_F): 2.76 states/eV/cell

abc: 6.9902 6.9902 6.9902
angles: 60.00 60.00 60.00
Atoms (fractional coordinates):
K 0.7500 0.7500 0.7500
Rb 0.5000 0.5000 0.5000
Li 0.0000 0.0000 0.0000
K 0.2500 0.2500 0.2500

14.
This record from Alexandria describes V2Ni4Pt after structural relaxation. The functional is PBE.

Output
* E_form: -0.2 eV per formula unit
* symmetry: C2/m
* offset from the most stable computed form: 164 meV per atom
* electronic total energy: -47.6 eV/cell
* D(E_F): 7.61 states/eV/cell

abc: 6.1522 6.1522 4.8722
angles: 128.63 128.63 90.05
Atoms (fractional coordinates):
Ni 0.6923 0.3076 0.0000
Ni 0.3077 0.6924 0.0000
V 0.2444 0.7555 0.5000
Ni 0.6896 0.6896 0.9946
Ni 0.3104 0.3104 0.0054
Pt 0.0000 0.0000 0.0000
V 0.7556 0.2445 0.5000

15.
This record from Alexandria describes ScSiP after structural relaxation. The functional is PBE.

Output
* ΔE_f (raw): -0.05 eV per atom
* symmetry: F-43m
* offset from the most stable computed form: 458 meV per atom
* electronic total energy: -17.3 eV/cell
* D(E_F): 2.66 states/eV/cell

abc: 4.4022 4.4022 4.4022
angles: 60.00 60.00 60.00
Atoms (fractional coordinates):
P 0.5000 0.5000 0.5000
Sc 0.7500 0.7500 0.7500
Si 0.0000 0.0000 0.0000

16.
This record from Alexandria describes SrTiSeBr2 after structural relaxation. The functional is PBE.

Output
* ΔE_f (raw): -1.21 eV per atom
* symmetry: P4/mmm
* offset from the most stable computed form: 0 meV per atom
* electronic total energy: -22.5 eV/cell
* D(E_F): 2.86 states/eV/cell

abc: 5.2309 5.2309 5.1486
angles: 90.00 90.00 90.00
Atoms (fractional coordinates):
Se 0.0000 0.0000 0.5000
Sr 0.5000 0.5000 0.5000
Ti 0.0000 0.0000 0.0000
Br 0.0000 0.5000 0.0000
Br 0.5000 0.0000 0.0000

17.
This record from Alexandria describes InAgCl2 after structural relaxation. The functional is PBE.

Output
* ΔE_f (raw): -0.59 eV per atom
* symmetry: R-3m
* electronic total energy: -11.6 eV/cell
* D(E_F): 0.00 states/eV/cell

abc: 8.4277 8.4277 8.4277
angles: 33.09 33.09 33.09
Atoms (fractional coordinates):
In 0.5000 0.5000 0.5000
Ag 0.0000 0.0000 0.0000
Cl 0.0985 0.0985 0.0985
Cl 0.9015 0.9015 0.9015

18.
This record from Alexandria describes OsRh2 after structural relaxation. The functional is PBE.

Output
* E_form: 0.8 eV per formula unit
* symmetry: P6/mmm
* offset from the most stable computed form: 259 meV per atom
* electronic total energy: -25.1 eV/cell
* D(E_F): 3.17 states/eV/cell

abc: 4.3266 4.3266 2.6634
angles: 90.00 90.00 120.00
Atoms (fractional coordinates):
Os 0.0000 0.0000 0.5000
Rh 0.3333 0.6667 0.0000
Rh 0.6667 0.3333 0.0000

19.
This record from Alexandria describes ThMg2Pb5 after structural relaxation. The functional is PBE.

Output
* E_form: -0.6 eV per formula unit
* symmetry: Pbam
* electronic total energy: -59.4 eV/cell
* D(E_F): 10.20 states/eV/cell

abc: 5.7069 6.6305 12.2351
angles: 90.00 90.00 90.00
Atoms (fractional coordinates):
Mg 0.5000 0.8251 0.1082
Pb 0.0000 0.7287 0.2457
Mg 0.5000 0.3251 0.3918
Pb 0.0000 0.0000 0.0000
Pb 0.5000 0.8401 0.3680
Pb 0.5000 0.6599 0.8680
Pb 0.0000 0.2713 0.7543
Pb 0.0000 0.2287 0.2543
Pb 0.0000 0.7713 0.7457
Th 0.0000 0.5000 0.0000
Pb 0.5000 0.3401 0.1320
Mg 0.5000 0.1749 0.8918
Mg 0.5000 0.6749 0.6082
Pb 0.5000 0.1599 0.6320
Pb 0.0000 0.5000 0.5000
Th 0.0000 0.0000 0.5000

20.
This record from Alexandria describes Na2HoAgBr6 after structural relaxation. The functional is PBE.

Output
* ΔE_f (raw): -1.43 eV per atom
* symmetry: P1
* electronic total energy: -34.4 eV/cell
* D(E_F): 0.00 states/eV/cell

abc: 7.3738 7.3792 7.8340
angles: 61.86 61.97 59.91
Atoms (fractional coordinates):
Br 0.2112 0.9509 0.2535
Na 0.0139 0.0137 0.9593
Br 0.5848 0.2103 0.2542
Na 0.5233 0.5227 0.4311
Ho 0.3246 0.3247 0.0258
Br 0.7076 0.1063 0.7590
Ag 0.8119 0.8135 0.5616
Br 0.1060 0.4278 0.7584
Br 0.9510 0.5843 0.2535
Br 0.4271 0.7075 0.7588

21.
This record from Alexandria describes Er2TlPd after structural relaxation. The functional is PBE.

Output
* E_form: -2.5 eV per formula unit
* symmetry: P4/mmm
* electronic total energy: -19.2 eV/cell
* D(E_F): 3.14 states/eV/cell

abc: 3.5384 3.5384 7.6280
angles: 90.00 90.00 90.00
Atoms (fractional coordinates):
Tl 0.5000 0.5000 0.5000
Pd 0.5000 0.5000 0.0000
Er 0.0000 0.0000 0.2219
Er 0.0000 0.0000 0.7781

22.
This record from Alexandria describes TcTeSe2 after structural relaxation. The functional is PBE.

Output
* ΔE_f (raw): -0.03 eV per atom
* symmetry: Cc
* electronic total energy: -41.2 eV/cell
* D(E_F): 6.97 states/eV/cell

abc: 15.0286 6.6553 6.6553
angles: 89.44 131.96 48.04
Atoms (fractional coordinates):
Se 0.2859 0.1872 0.5476
Tc 0.7616 0.3515 0.3349
Tc 0.2616 0.1651 0.1485
Te 0.8331 0.4170 0.0692
Te 0.3331 0.4308 0.0830
Se 0.7859 0.9524 0.3128
Se 0.1368 0.0050 0.0582
Se 0.6368 0.4418 0.4950

23.
This record from Alexandria describes SrZr2Hg after structural relaxation. The functional is PBE.

Output
* E_form: 0.5 eV per formula unit
* symmetry: R3m
* electronic total energy: -18.6 eV/cell
* D(E_F): 3.48 states/eV/cell

abc: 10.6903 10.6903 10.6903
angles: 18.68 18.68 18.68
Atoms (fractional coordinates):
Zr 0.2483 0.2483 0.2483
Zr 0.9894 0.9894 0.9894
Hg 0.5072 0.5072 0.5072
Sr 0.7552 0.7552 0.7552

24.
This record from Alexandria describes Zn6NO6 after structural relaxation. The functional is PBE.

Output
* ΔE_f (raw): -0.87 eV per atom
* symmetry: Pm-3
* electronic total energy: -57.0 eV/cell

abc: 5.6777 5.6777 5.6777
angles: 90.00 90.00 90.00
Atoms (fractional coordinates):
O 0.2515 0.0000 0.5000
O 0.5000 0.2515 0.0000
O 0.0000 0.5000 0.7485
O 0.0000 0.5000 0.2515
Zn 0.0000 0.2488 0.5000
Zn 0.5000 0.0000 0.2488
O 0.5000 0.7485 0.0000
N 0.0000 0.0000 0.0000
O 0.7485 0.0000 0.5000
Zn 0.5000 0.0000 0.7512
Zn 0.2488 0.5000 0.0000
Zn 0.7512 0.5000 0.0000
Zn 0.0000 0.7512 0.5000

25.
This record from Alexandria describes SrTa2O7 after structural relaxation. The functional is PBE.

Output
* ΔE_f (raw): -2.50 eV per atom
* symmetry: Cmmm
* offset from the most stable computed form: 36 meV per atom
* electronic total energy: -85.1 eV/cell
* D(E_F): 4.86 states/eV/cell

abc: 3.9188 6.0391 6.0391
angles: 115.65 90.00 90.00
Atoms (fractional coordinates):
O 0.0000 0.7166 0.2834
Ta 0.5000 0.6989 0.3011
O 0.0000 0.2834 0.7166
O 0.5000 0.6654 0.9383
Sr 0.0000 0.0000 0.0000
O 0.5000 0.9383 0.6654
O 0.5000 0.5000 0.5000
O 0.5000 0.3346 0.0617
Ta 0.5000 0.3011 0.6989
O 0.5000 0.0617 0.3346